No. 1
Computed, not measured: a geometry-optimized CsRbTlCd2 structure at the GGA-PBE level of DFT.

Lattice parameters (Å, degrees): 5.958 5.958 6.893 90.00 90.00 90.00
Space group P4/mmm (No. 123)
Inequivalent atoms, fractional coordinates:
Cs1 0.000 0.000 0.000 (multiplicity 1)
Rb1 0.500 0.500 0.000 (multiplicity 1)
Tl1 0.500 0.500 0.500 (multiplicity 1)
Cd1 0.000 0.500 0.500 (multiplicity 2)

Output
- ΔH_f (0 K): 76 meV/atom
- DOS at the Fermi energy: 0.398 states/eV per atom
- Size of the total moment: 0.000 μB per atom
- Relative energy among the computed polymorphs: 0.0 meV per atom

No. 2
Computed, not measured: a geometry-optimized Cs2RbTl5Cd2 structure at the GGA-PBE level of DFT.

Lattice parameters (Å, degrees): 13.191 13.191 4.584 90.00 90.00 90.00
Space group P4/mbm (No. 127)
Inequivalent atoms, fractional coordinates:
Cs1 0.182 0.318 0.000 (multiplicity 4)
Rb1 0.000 0.000 0.000 (multiplicity 2)
Tl1 0.000 0.500 0.500 (multiplicity 2)
Tl2 0.063 0.768 0.500 (multiplicity 8)
Cd1 0.115 0.615 0.000 (multiplicity 4)

Output
- ΔH_f (0 K): -32 meV/atom
- DOS at the Fermi energy: 0.836 states/eV per atom
- Size of the total moment: 0.000 μB per atom

No. 3
Computed, not measured: a geometry-optimized CsRbTlCd2 structure at the GGA-PBE level of DFT.

Lattice parameters (Å, degrees): 5.972 5.972 7.096 90.00 90.00 90.00
Space group P4/mmm (No. 123)
Inequivalent atoms, fractional coordinates:
Cs1 0.000 0.000 0.000 (multiplicity 1)
Rb1 0.500 0.500 0.000 (multiplicity 1)
Tl1 0.000 0.000 0.500 (multiplicity 1)
Cd1 0.000 0.500 0.500 (multiplicity 2)

Output
- ΔH_f (0 K): 131 meV/atom
- DOS at the Fermi energy: 0.548 states/eV per atom
- Size of the total moment: 0.000 μB per atom
- Relative energy among the computed polymorphs: 54.7 meV per atom

No. 4
Computed, not measured: a geometry-optimized CsRbZn2Cd structure at the GGA-PBE level of DFT.

Lattice parameters (Å, degrees): 5.686 5.686 6.624 90.00 90.00 90.00
Space group P4/mmm (No. 123)
Inequivalent atoms, fractional coordinates:
Cs1 0.000 0.000 0.000 (multiplicity 1)
Rb1 0.500 0.500 0.000 (multiplicity 1)
Zn1 0.000 0.500 0.500 (multiplicity 2)
Cd1 0.000 0.000 0.500 (multiplicity 1)

Output
- ΔH_f (0 K): 281 meV/atom
- DOS at the Fermi energy: 0.556 states/eV per atom
- Size of the total moment: 0.000 μB per atom

No. 5
Computed, not measured: a geometry-optimized CsRbZnCd structure at the GGA-PBE level of DFT.

Lattice parameters (Å, degrees): 9.147 9.147 9.147 90.00 90.00 90.00
Space group F-43m (No. 216)
Inequivalent atoms, fractional coordinates:
Cs1 0.000 0.000 0.000 (multiplicity 4)
Rb1 0.000 0.000 0.500 (multiplicity 4)
Zn1 0.250 0.250 0.750 (multiplicity 4)
Cd1 0.250 0.250 0.250 (multiplicity 4)

Output
- ΔH_f (0 K): 143 meV/atom
- DOS at the Fermi energy: 1.104 states/eV per atom
- Size of the total moment: 0.000 μB per atom

No. 6
Computed, not measured: a geometry-optimized Cs2RbZnCd structure at the GGA-PBE level of DFT.

Lattice parameters (Å, degrees): 7.594 7.594 5.299 90.00 90.00 90.00
Space group P4/mmm (No. 123)
Inequivalent atoms, fractional coordinates:
Cs1 0.000 0.500 0.000 (multiplicity 2)
Rb1 0.000 0.000 0.500 (multiplicity 1)
Zn1 0.500 0.500 0.000 (multiplicity 1)
Cd1 0.500 0.500 0.500 (multiplicity 1)

Output
- ΔH_f (0 K): 107 meV/atom
- DOS at the Fermi energy: 1.019 states/eV per atom
- Size of the total moment: 0.000 μB per atom
- Relative energy among the computed polymorphs: 0.0 meV per atom